(1)
# Sc2OsPbC, optimized geometry, DFT PBE
# Space group: No. 123
# ΔH_f (0 K) in eV/f.u.: -1.719
# Density in Mg/m³: 9.489
data_Sc2OsPbC
_chemical_formula_sum 'Sc2 Os1 Pb1 C1'
_symmetry_space_group_name_H-M 'P 1'
_symmetry_Int_Tables_number 1
_cell_length_a 4.687
_cell_length_b 4.687
_cell_length_c 3.978
_cell_angle_alpha 90.00
_cell_angle_beta 90.00
_cell_angle_gamma 90.00
loop_
_symmetry_equiv_pos_as_xyz
'x,y,z'
loop_
_atom_site_label
_atom_site_fract_x
_atom_site_fract_y
_atom_site_fract_z
Pb1 0.500 0.500 0.500
Sc1 0.000 0.500 0.000
Sc2 0.500 0.000 0.000
C1 0.000 0.000 0.000
Os1 0.000 0.000 0.500



(2)
# Si2OsPbC, optimized geometry, DFT PBE
# Space group: No. 123
# Final energy in eV/atom: -4.07
# Density in Mg/m³: 6.829
data_Si2OsPbC
_chemical_formula_sum 'Si2 Os1 Pb1 C1'
_symmetry_space_group_name_H-M 'P 1'
_symmetry_Int_Tables_number 1
_cell_length_a 5.226
_cell_length_b 4.146
_cell_length_c 5.226
_cell_angle_alpha 90.00
_cell_angle_beta 90.00
_cell_angle_gamma 90.00
loop_
_symmetry_equiv_pos_as_xyz
'x,y,z'
loop_
_atom_site_label
_atom_site_fract_x
_atom_site_fract_y
_atom_site_fract_z
Pb1 0.000 0.000 0.000
Si1 0.000 0.000 0.500
Si2 0.500 0.000 0.000
Os1 0.500 0.500 0.500
C1 0.000 0.500 0.000



(3)
# Os2PdC, optimized geometry, DFT PBE
# Space group: No. 122
# ΔH_f (0 K) in eV/f.u.: 4.565
# Density in Mg/m³: 12.761
data_Os2PdC
_chemical_formula_sum 'Os4 Pd2 C2'
_symmetry_space_group_name_H-M 'P 1'
_symmetry_Int_Tables_number 1
_cell_length_a 4.845
_cell_length_b 4.845
_cell_length_c 6.507
_cell_angle_alpha 68.14
_cell_angle_beta 68.14
_cell_angle_gamma 90.00
loop_
_symmetry_equiv_pos_as_xyz
'x,y,z'
loop_
_atom_site_label
_atom_site_fract_x
_atom_site_fract_y
_atom_site_fract_z
C1 0.500 0.500 0.000
C2 0.250 0.750 0.500
Os1 0.515 0.125 0.250
Os2 0.235 0.625 0.250
Os3 0.375 0.485 0.750
Os4 0.875 0.765 0.750
Pd1 0.000 0.000 0.000
Pd2 0.750 0.250 0.500



(4)
# OsPd3C, optimized geometry, DFT PBE
# Space group: No. 221
# ΔH_f (0 K) in eV/f.u.: 4.649
# Density in Mg/m³: 12.366
data_OsPd3C
_chemical_formula_sum 'Os1 Pd3 C1'
_symmetry_space_group_name_H-M 'P 1'
_symmetry_Int_Tables_number 1
_cell_length_a 4.122
_cell_length_b 4.122
_cell_length_c 4.122
_cell_angle_alpha 90.00
_cell_angle_beta 90.00
_cell_angle_gamma 90.00
loop_
_symmetry_equiv_pos_as_xyz
'x,y,z'
loop_
_atom_site_label
_atom_site_fract_x
_atom_site_fract_y
_atom_site_fract_z
C1 0.000 0.000 0.000
Os1 0.500 0.500 0.500
Pd1 0.000 0.500 0.000
Pd2 0.000 0.000 0.500
Pd3 0.500 0.000 0.000



(5)
# OsPd2C, optimized geometry, DFT PBE
# Space group: No. 122
# ΔH_f (0 K) in eV/f.u.: 3.670
# Density in Mg/m³: 11.884
data_OsPd2C
_chemical_formula_sum 'Os2 Pd4 C2'
_symmetry_space_group_name_H-M 'P 1'
_symmetry_Int_Tables_number 1
_cell_length_a 7.532
_cell_length_b 7.532
_cell_length_c 5.705
_cell_angle_alpha 48.69
_cell_angle_beta 48.69
_cell_angle_gamma 90.00
loop_
_symmetry_equiv_pos_as_xyz
'x,y,z'
loop_
_atom_site_label
_atom_site_fract_x
_atom_site_fract_y
_atom_site_fract_z
C1 0.500 0.500 0.000
C2 0.250 0.750 0.500
Os1 0.000 0.000 0.000
Os2 0.750 0.250 0.500
Pd1 0.502 0.125 0.250
Pd2 0.248 0.625 0.250
Pd3 0.375 0.498 0.750
Pd4 0.875 0.752 0.750



(6)
# OsPd3C, optimized geometry, DFT PBE
# Space group: No. 221
# ΔH_f (0 K) in eV/f.u.: 12.919
# Density in Mg/m³: 7.786
data_OsPd3C
_chemical_formula_sum 'Os1 Pd3 C1'
_symmetry_space_group_name_H-M 'P 1'
_symmetry_Int_Tables_number 1
_cell_length_a 4.809
_cell_length_b 4.809
_cell_length_c 4.809
_cell_angle_alpha 90.00
_cell_angle_beta 90.00
_cell_angle_gamma 90.00
loop_
_symmetry_equiv_pos_as_xyz
'x,y,z'
loop_
_atom_site_label
_atom_site_fract_x
_atom_site_fract_y
_atom_site_fract_z
C1 0.500 0.500 0.500
Os1 0.000 0.000 0.000
Pd1 0.000 0.500 0.000
Pd2 0.000 0.000 0.500
Pd3 0.500 0.000 0.000



(7)
# OsPdC2, optimized geometry, DFT PBE
# Space group: No. 122
# ΔH_f (0 K) in eV/f.u.: 3.012
# Density in Mg/m³: 10.392
data_OsPdC2
_chemical_formula_sum 'Os2 Pd2 C4'
_symmetry_space_group_name_H-M 'P 1'
_symmetry_Int_Tables_number 1
_cell_length_a 4.685
_cell_length_b 4.685
_cell_length_c 5.725
_cell_angle_alpha 65.85
_cell_angle_beta 65.85
_cell_angle_gamma 90.00
loop_
_symmetry_equiv_pos_as_xyz
'x,y,z'
loop_
_atom_site_label
_atom_site_fract_x
_atom_site_fract_y
_atom_site_fract_z
C1 0.658 0.125 0.250
C2 0.092 0.625 0.250
C3 0.375 0.342 0.750
C4 0.875 0.908 0.750
Os1 0.000 0.000 0.000
Os2 0.750 0.250 0.500
Pd1 0.500 0.500 0.000
Pd2 0.250 0.750 0.500



(8)
# OsPdC2, optimized geometry, DFT PBE
# Space group: No. 225
# ΔH_f (0 K) in eV/f.u.: 7.095
# Density in Mg/m³: 13.033
data_OsPdC2
_chemical_formula_sum 'Os1 Pd1 C2'
_symmetry_space_group_name_H-M 'P 1'
_symmetry_Int_Tables_number 1
_cell_length_a 3.866
_cell_length_b 3.866
_cell_length_c 3.866
_cell_angle_alpha 60.00
_cell_angle_beta 60.00
_cell_angle_gamma 60.00
loop_
_symmetry_equiv_pos_as_xyz
'x,y,z'
loop_
_atom_site_label
_atom_site_fract_x
_atom_site_fract_y
_atom_site_fract_z
C1 0.250 0.250 0.250
C2 0.750 0.750 0.750
Os1 0.500 0.500 0.500
Pd1 0.000 0.000 0.000



(9)
# OsPdC2Se, optimized geometry, DFT PBE
# Space group: No. 123
# Final energy in eV/atom: -6.45
# Density in Mg/m³: 8.065
data_OsPdC2Se
_chemical_formula_sum 'Os1 Pd1 C2 Se1'
_symmetry_space_group_name_H-M 'P 1'
_symmetry_Int_Tables_number 1
_cell_length_a 3.864
_cell_length_b 5.511
_cell_length_c 3.864
_cell_angle_alpha 90.00
_cell_angle_beta 90.00
_cell_angle_gamma 90.00
loop_
_symmetry_equiv_pos_as_xyz
'x,y,z'
loop_
_atom_site_label
_atom_site_fract_x
_atom_site_fract_y
_atom_site_fract_z
C1 0.000 0.000 0.500
C2 0.500 0.000 0.000
Os1 0.000 0.000 0.000
Se1 0.000 0.500 0.000
Pd1 0.500 0.500 0.500



(10)
# SiOs2PdC, optimized geometry, DFT PBE
# Space group: No. 123
# Final energy in eV/atom: -7.83
# Density in Mg/m³: 12.962
data_SiOs2PdC
_chemical_formula_sum 'Si1 Os2 Pd1 C1'
_symmetry_space_group_name_H-M 'P 1'
_symmetry_Int_Tables_number 1
_cell_length_a 4.058
_cell_length_b 4.099
_cell_length_c 4.058
_cell_angle_alpha 90.00
_cell_angle_beta 90.00
_cell_angle_gamma 90.00
loop_
_symmetry_equiv_pos_as_xyz
'x,y,z'
loop_
_atom_site_label
_atom_site_fract_x
_atom_site_fract_y
_atom_site_fract_z
Si1 0.500 0.500 0.500
Os1 0.000 0.000 0.500
Os2 0.500 0.000 0.000
C1 0.000 0.000 0.000
Pd1 0.000 0.500 0.000



(11)
# SiOsPd2C, optimized geometry, DFT PBE
# Space group: No. 123
# Final energy in eV/atom: -4.97
# Density in Mg/m³: 6.829
data_SiOsPd2C
_chemical_formula_sum 'Si1 Os1 Pd2 C1'
_symmetry_space_group_name_H-M 'P 1'
_symmetry_Int_Tables_number 1
_cell_length_a 4.877
_cell_length_b 4.531
_cell_length_c 4.877
_cell_angle_alpha 90.00
_cell_angle_beta 90.00
_cell_angle_gamma 90.00
loop_
_symmetry_equiv_pos_as_xyz
'x,y,z'
loop_
_atom_site_label
_atom_site_fract_x
_atom_site_fract_y
_atom_site_fract_z
Si1 0.000 0.500 0.000
Os1 0.000 0.000 0.000
C1 0.500 0.500 0.500
Pd1 0.000 0.000 0.500
Pd2 0.500 0.000 0.000



(12)
# SnOsPdC2, optimized geometry, DFT PBE
# Space group: No. 123
# ΔH_f (0 K) in eV/f.u.: 11.579
# Density in Mg/m³: 8.557
data_SnOsPdC2
_chemical_formula_sum 'Sn1 Os1 Pd1 C2'
_symmetry_space_group_name_H-M 'P 1'
_symmetry_Int_Tables_number 1
_cell_length_a 3.899
_cell_length_b 5.608
_cell_length_c 3.899
_cell_angle_alpha 90.00
_cell_angle_beta 90.00
_cell_angle_gamma 90.00
loop_
_symmetry_equiv_pos_as_xyz
'x,y,z'
loop_
_atom_site_label
_atom_site_fract_x
_atom_site_fract_y
_atom_site_fract_z
C1 0.000 0.000 0.500
C2 0.500 0.000 0.000
Os1 0.500 0.500 0.500
Sn1 0.000 0.500 0.000
Pd1 0.000 0.000 0.000



- Which formula does entry 12 have?
  SnOsPdC2



- Number 10 is which compound?
  SiOs2PdC